# 1
Below is ScOsBr2 after structural relaxation, with properties calculated at the GGA-PBE level.

- M_tot (μB/cell) = 4.40
- E_form (uncorrected) (eV/atom) = 0.559
- energy above the most stable polymorph in this dataset (eV per atom) = 0.8704
- E (eV per atom) = -4.668

a b c (Å): 3.337 5.486 10.429
angles (deg): 90.00 90.00 90.00
Element x y z (fractional)
Sc1 0.000 0.000 0.000
Sc2 0.500 0.500 0.000
Os1 0.000 0.000 0.500
Os2 0.500 0.500 0.500
Br1 0.000 0.500 0.194
Br2 0.000 0.500 0.806
Br3 0.500 0.000 0.194
Br4 0.500 0.000 0.806



# 2
Below is ScOsBr2 after structural relaxation, with properties calculated at the GGA-PBE level.

- M_tot (μB/cell) = 1.51
- E_form (uncorrected) (eV/atom) = 0.310
- energy above the most stable polymorph in this dataset (eV per atom) = 0.6212
- E (eV per atom) = -4.917

a b c (Å): 6.148 6.553 4.232
angles (deg): 90.00 90.00 90.00
Element x y z (fractional)
Sc1 0.000 0.000 0.000
Sc2 0.500 0.500 0.000
Os1 0.000 0.500 0.000
Os2 0.500 0.000 0.000
Br1 0.000 0.271 0.500
Br2 0.000 0.729 0.500
Br3 0.500 0.229 0.500
Br4 0.500 0.771 0.500



# 3
Below is Sc4OsBr after structural relaxation, with properties calculated at the GGA-PBE level.

- M_tot (μB/cell) = 0.00
- E_form (uncorrected) (eV/atom) = 0.620
- E (eV per atom) = -5.752

a b c (Å): 5.661 5.661 5.661
angles (deg): 60.00 60.00 60.00
Element x y z (fractional)
Sc1 0.378 0.378 0.378
Sc2 0.378 0.378 0.866
Sc3 0.378 0.866 0.378
Sc4 0.866 0.378 0.378
Os1 0.750 0.750 0.750
Br1 0.000 0.000 0.000



# 4
Below is Sc3OsBr after structural relaxation, with properties calculated at the GGA-PBE level.

- M_tot (μB/cell) = 0.93
- E_form (uncorrected) (eV/atom) = 0.473
- energy above the most stable polymorph in this dataset (eV per atom) = 0.5946
- E (eV per atom) = -5.906

a b c (Å): 4.810 4.810 4.810
angles (deg): 90.00 90.00 90.00
Element x y z (fractional)
Sc1 0.000 0.000 0.500
Sc2 0.000 0.500 0.000
Sc3 0.500 0.000 0.000
Os1 0.500 0.500 0.500
Br1 0.000 0.000 0.000